An optimized crystal structure of Li2Dy2ScPd5, computed with PBE.

Properties
* uncorrected energy: -105.6 eV/cell

a = 9.8166 Å, b = 9.8166 Å, c = 3.5972 Å
α = 90.00°, β = 90.00°, γ = 90.00°
Closest atoms and distances in Å follow each position.
Sites, in units of the cell vectors:
Li (0.1216, 0.3784, 0.0000)  6 Pd 2.47-2.51
Li (0.3784, 0.8784, 0.0000)  6 Pd 2.47-2.51
Li (0.6216, 0.1216, 0.0000)  6 Pd 2.47-2.51
Li (0.8784, 0.6216, 0.0000)  6 Pd 2.47-2.51
Dy (0.1755, 0.6755, 0.0000)  3 Li 2.82-2.96, 6 Pd 3.03-3.11
Dy (0.3245, 0.1755, 0.0000)  3 Li 2.82-2.96, 6 Pd 3.03-3.11
Dy (0.6755, 0.8245, 0.0000)  3 Li 2.82-2.96, 6 Pd 3.03-3.11
Dy (0.8245, 0.3245, 0.0000)  3 Li 2.82-2.96, 6 Pd 3.03-3.11
Sc (0.0000, 0.0000, 0.0000)  8 Pd 2.80
Sc (0.5000, 0.5000, 0.0000)  8 Pd 2.80
Pd (0.0000, 0.5000, 0.5000)  4 Li 2.47
Pd (0.0678, 0.2079, 0.5000)  2 Li 2.51, 2 Sc 2.80
Pd (0.2079, 0.9322, 0.5000)  2 Li 2.51, 2 Sc 2.80
Pd (0.2921, 0.4322, 0.5000)  2 Li 2.51, 2 Sc 2.80
Pd (0.4322, 0.7079, 0.5000)  2 Li 2.51, 2 Sc 2.80
Pd (0.5000, 0.0000, 0.5000)  4 Li 2.47
Pd (0.5678, 0.2921, 0.5000)  2 Li 2.51, 2 Sc 2.80
Pd (0.7079, 0.5678, 0.5000)  2 Li 2.51, 2 Sc 2.80
Pd (0.7921, 0.0678, 0.5000)  2 Li 2.51, 2 Sc 2.80
Pd (0.9322, 0.7921, 0.5000)  2 Li 2.51, 2 Sc 2.80



An optimized crystal structure of Li2DyScPd4, computed with PBE.

Properties
* uncorrected energy: -41.2 eV/cell

a = 8.0006 Å, b = 8.0006 Å, c = 8.0006 Å
α = 33.29°, β = 33.29°, γ = 33.29°
Closest atoms and distances in Å follow each position.
Sites, in units of the cell vectors:
Li (0.2478, 0.2478, 0.2478)  8 Pd 2.71-2.99
Li (0.7522, 0.7522, 0.7522)  8 Pd 2.71-2.99
Dy (0.0000, 0.0000, 0.0000)  8 Pd 2.85-2.90
Sc (0.5000, 0.5000, 0.5000)  8 Pd 2.72-2.79
Pd (0.1280, 0.1280, 0.1280)  4 Li 2.71-2.82, 3 Sc 2.79, 1 Dy 2.90
Pd (0.3799, 0.3799, 0.3799)  1 Sc 2.72, 4 Li 2.79-2.99, 3 Dy 2.85
Pd (0.6201, 0.6201, 0.6201)  1 Sc 2.72, 4 Li 2.79-2.99, 3 Dy 2.85
Pd (0.8720, 0.8720, 0.8720)  4 Li 2.71-2.82, 3 Sc 2.79, 1 Dy 2.90